! GaTeIN2 (SCAN, single point on PBEsol structure); values from VASP
! Magnetic moment in μB/cell: 3.3
! Calculated volume in Å³ per cell: 101.0
! ΔE_f (raw) in eV/atom: 1.345
&SYSTEM
  ibrav = 0, nat = 5, ntyp = 4
/
ATOMIC_SPECIES
Ga 69.72 Ga.upf
Te 127.60 Te.upf
I 126.90 I.upf
N 14.01 N.upf
ATOMIC_POSITIONS angstrom
Ga 0.000 0.000 0.000
Te 2.062 2.062 2.969
I 0.000 0.000 2.969
N 0.000 2.062 0.000
N 2.062 0.000 0.000
CELL_PARAMETERS angstrom
4.124 0.000 0.000
0.000 4.124 0.000
0.000 0.000 5.938

---

! Zn2CrPt (SCAN, single point on PBEsol structure); values from VASP
! Magnetic moment in μB/cell: 3.6
! Calculated volume in Å³ per cell: 55.5
! Formation energy in eV/f.u.: -1.32
&SYSTEM
  ibrav = 0, nat = 4, ntyp = 3
/
ATOMIC_SPECIES
Zn 65.41 Zn.upf
Cr 52.00 Cr.upf
Pt 195.08 Pt.upf
ATOMIC_POSITIONS angstrom
Zn 0.000 0.000 0.000
Zn 0.000 1.932 1.857
Cr 0.000 0.000 3.715
Pt 1.932 0.000 1.857
CELL_PARAMETERS angstrom
-1.932 1.932 3.715
1.932 -1.932 3.715
1.932 1.932 -3.715

---

! DyGe2Ir (SCAN, single point on PBEsol structure); values from VASP
! Magnetic moment in μB/cell: 0.0
! Calculated volume in Å³ per cell: 296.0
! Formation energy in eV/f.u.: -3.87
&SYSTEM
  ibrav = 0, nat = 16, ntyp = 3
/
ATOMIC_SPECIES
Dy 162.50 Dy.upf
Ge 72.64 Ge.upf
Ir 192.22 Ir.upf
ATOMIC_POSITIONS angstrom
Dy 0.000 0.000 3.268
Dy 0.000 2.098 0.000
Dy 0.000 6.702 0.000
Dy 0.000 0.000 12.634
Ge 2.115 0.000 1.221
Ge 2.115 -1.344 4.759
Ge 0.000 0.000 6.708
Ge 2.115 1.344 4.759
Ge 0.000 3.056 3.192
Ge 0.000 0.000 9.194
Ge 0.000 5.743 3.192
Ge 0.000 4.400 6.730
Ir 2.115 2.203 -2.309
Ir 2.115 2.203 2.309
Ir 0.000 2.197 5.642
Ir 0.000 2.197 10.260
CELL_PARAMETERS angstrom
-2.115 4.400 7.951
2.115 -4.400 7.951
2.115 4.400 -7.951

---

! Y3HfAs (SCAN, single point on PBEsol structure); values from VASP
! Magnetic moment in μB/cell: 3.8
! Calculated volume in Å³ per cell: 150.5
! Formation energy in eV/f.u.: -0.68
&SYSTEM
  ibrav = 0, nat = 5, ntyp = 3
/
ATOMIC_SPECIES
Y 88.91 Y.upf
Hf 178.49 Hf.upf
As 74.92 As.upf
ATOMIC_POSITIONS angstrom
Y 0.000 0.000 2.660
Y 0.000 2.660 0.000
Y 2.660 0.000 0.000
Hf 2.660 2.660 2.660
As 0.000 0.000 0.000
CELL_PARAMETERS angstrom
5.319 0.000 0.000
0.000 5.319 0.000
0.000 0.000 5.319

---

! K2Hg (SCAN, single point on PBEsol structure); values from VASP
! Magnetic moment in μB/cell: 0.0
! Calculated volume in Å³ per cell: 270.1
! Formation energy in eV/f.u.: -0.54
! Energy relative to the lowest polymorph listed for this composition in meV/atom: 25.6
&SYSTEM
  ibrav = 0, nat = 6, ntyp = 2
/
ATOMIC_SPECIES
K 39.10 K.upf
Hg 200.59 Hg.upf
ATOMIC_POSITIONS angstrom
K 2.042 1.021 1.975
K 2.042 1.021 6.118
K 0.000 1.021 10.068
K 0.000 1.021 14.210
Hg 2.042 -1.021 12.139
Hg 0.000 3.064 4.046
CELL_PARAMETERS angstrom
-2.042 2.042 16.185
2.042 -2.042 16.185
2.042 2.042 -16.185

---

! GaCo (SCAN, single point on PBEsol structure); values from VASP
! Magnetic moment in μB/cell: 0.3
! Calculated volume in Å³ per cell: 22.8
! Formation energy in eV/f.u.: -0.39
&SYSTEM
  ibrav = 0, nat = 2, ntyp = 2
/
ATOMIC_SPECIES
Ga 69.72 Ga.upf
Co 58.93 Co.upf
ATOMIC_POSITIONS angstrom
Ga 0.000 0.000 0.000
Co 1.419 1.419 1.419
CELL_PARAMETERS angstrom
2.837 0.000 0.000
0.000 2.837 0.000
0.000 0.000 2.837

---

! Mg2AlAs (SCAN, single point on PBEsol structure); values from VASP
! Magnetic moment in μB/cell: 0.0
! Calculated volume in Å³ per cell: 90.4
! Formation energy in eV/f.u.: -0.41
! Energy relative to the lowest polymorph listed for this composition in meV/atom: 40.0
&SYSTEM
  ibrav = 0, nat = 4, ntyp = 3
/
ATOMIC_SPECIES
Mg 24.30 Mg.upf
Al 26.98 Al.upf
As 74.92 As.upf
ATOMIC_POSITIONS angstrom
Mg 0.000 0.000 0.000
Mg 0.000 0.000 5.069
Al 0.000 0.000 17.108
As 0.000 0.000 10.860
CELL_PARAMETERS angstrom
1.868 1.079 7.477
-1.868 1.079 7.477
0.000 -2.157 7.477

---

! HfCr2N2 (SCAN, single point on PBEsol structure); values from VASP
! Magnetic moment in μB/cell: 1.6
! Calculated volume in Å³ per cell: 50.7
! ΔE_f (raw) in eV/atom: -0.267
&SYSTEM
  ibrav = 0, nat = 5, ntyp = 3
/
ATOMIC_SPECIES
Hf 178.49 Hf.upf
Cr 52.00 Cr.upf
N 14.01 N.upf
ATOMIC_POSITIONS angstrom
Hf 0.000 0.000 0.000
Cr 1.592 0.000 2.499
Cr 0.000 1.592 2.499
N 0.000 0.000 3.732
N 0.000 0.000 6.266
CELL_PARAMETERS angstrom
-1.592 1.592 4.999
1.592 -1.592 4.999
1.592 1.592 -4.999

---

- magnetic moment of number 3 (DyGe2Ir)?
  0.0 μB/cell

---

- The highest magnetic moment belongs to which entry?
  Y3HfAs

---

What did the eighth record say?
! HfCr2N2 (SCAN, single point on PBEsol structure); values from VASP
! Magnetic moment in μB/cell: 1.6
! Calculated volume in Å³ per cell: 50.7
! ΔE_f (raw) in eV/atom: -0.267
&SYSTEM
  ibrav = 0, nat = 5, ntyp = 3
/
ATOMIC_SPECIES
Hf 178.49 Hf.upf
Cr 52.00 Cr.upf
N 14.01 N.upf
ATOMIC_POSITIONS angstrom
Hf 0.000 0.000 0.000
Cr 1.592 0.000 2.499
Cr 0.000 1.592 2.499
N 0.000 0.000 3.732
N 0.000 0.000 6.266
CELL_PARAMETERS angstrom
-1.592 1.592 4.999
1.592 -1.592 4.999
1.592 1.592 -4.999